A relaxed BaIn4Pb12 crystal, computed with GGA-PBE. Values from VASP.

Results
**Crystal system**: cubic
**Mass density**: 8.7 g cm⁻³
**ΔE_f**: 1.0 eV/f.u.
**DOS at the Fermi energy**: 8.3 states/eV per cell
**Space group**: Im-3
**E_tot**: -56.35 eV per formula unit

The structure in Quantum ESPRESSO input format:
```
&SYSTEM
  ibrav = 0, nat = 17, ntyp = 3
/
ATOMIC_SPECIES
Ba 137.33 Ba.upf
In 114.82 In.upf
Pb 207.20 Pb.upf
CELL_PARAMETERS angstrom
9.160 0.000 0.000
-3.053 8.636 0.000
-3.053 -4.318 7.479
ATOMIC_POSITIONS angstrom
Ba 0.000 0.000 0.000
In -1.527 4.318 0.000
In 4.580 0.000 0.000
In 1.527 2.159 3.739
In -1.527 -2.159 3.739
Pb 6.084 2.175 1.498
Pb 1.223 3.694 1.135
Pb 4.883 -1.488 4.846
Pb 0.022 -1.933 6.344
Pb -1.830 5.806 2.632
Pb 1.830 0.623 6.344
Pb 3.076 -0.210 2.632
Pb -0.022 4.528 4.847
Pb 3.031 6.251 1.135
Pb 4.276 3.453 3.712
Pb -1.223 0.865 3.767
Pb -3.031 2.143 5.981
```

***

A relaxed Ba2InPb8 crystal, computed with GGA-PBE. Values from VASP.

Results
**Crystal system**: tetragonal
**Mass density**: 9.0 g cm⁻³
**ΔE_f**: -2.4 eV/f.u.
**DOS at the Fermi energy**: 4.5 states/eV per cell
**Space group**: P4/mmm
**E_tot**: -38.61 eV per formula unit

The structure in Quantum ESPRESSO input format:
```
&SYSTEM
  ibrav = 0, nat = 11, ntyp = 3
/
ATOMIC_SPECIES
Ba 137.33 Ba.upf
In 114.82 In.upf
Pb 207.20 Pb.upf
CELL_PARAMETERS angstrom
5.326 0.000 0.000
0.000 5.326 0.000
0.000 0.000 13.301
ATOMIC_POSITIONS angstrom
Ba 0.000 0.000 4.171
Ba 0.000 0.000 9.129
In 0.000 0.000 0.000
Pb 0.000 2.663 6.650
Pb 2.663 0.000 6.650
Pb 2.663 2.663 4.169
Pb 2.663 2.663 9.132
Pb 0.000 2.663 1.693
Pb 2.663 0.000 1.693
Pb 0.000 2.663 11.607
Pb 2.663 0.000 11.607
```

***

A relaxed Ba3In3Pb crystal, computed with GGA-PBE. Values from VASP.

Results
**Crystal system**: monoclinic
**Mass density**: 5.9 g cm⁻³
**ΔE_f**: -3.0 eV/f.u.
**DOS at the Fermi energy**: 12.3 states/eV per cell
**Space group**: C2/m
**E_tot**: -20.68 eV per formula unit

The structure in Quantum ESPRESSO input format:
```
&SYSTEM
  ibrav = 0, nat = 14, ntyp = 3
/
ATOMIC_SPECIES
Ba 137.33 Ba.upf
In 114.82 In.upf
Pb 207.20 Pb.upf
CELL_PARAMETERS angstrom
5.272 0.000 0.794
2.603 6.335 0.614
0.226 0.004 16.395
ATOMIC_POSITIONS angstrom
Ba 3.771 2.072 10.754
Ba 4.329 4.267 7.049
Ba 2.082 1.596 4.071
Ba 6.018 4.743 13.733
Ba 3.034 1.839 15.645
Ba 5.066 4.500 2.158
In 6.594 4.644 9.909
In 1.506 1.695 7.894
In 3.018 5.523 15.756
In 5.083 0.816 2.047
In 7.330 5.267 5.027
In 0.771 1.072 12.776
Pb 4.328 0.530 7.061
Pb 3.773 5.809 10.742
```